DyY2Co2C2N3 after structural relaxation. Source: the Open Quantum Materials Database, functional PBE.

Cell: 10.004 10.004 10.004 Å, 160.14 160.14 28.23°
Fractional coordinates of all 10 atoms:
Dy 0.000 0.000 0.000
Y 0.373 0.373 0.000
Y 0.627 0.627 0.000
Co 0.250 0.750 0.500
Co 0.750 0.250 0.500
C 0.194 0.194 0.000
C 0.806 0.806 0.000
N 0.120 0.120 0.000
N 0.500 0.500 0.000
N 0.880 0.880 0.000

Properties
Raw total energy, eV/atom: -8.435
Space group: I4/mmm